(1)
Cs3Ca2PbCl9 | PBE-GGA | relaxed

Properties
- Symmetry: P-3m1
- E: -57.27 eV/cell
- Magnetization: 0.0 μB per formula unit
- DOS(E_F): 0.00 states/eV/cell
- Uncorrected formation energy: -2.025 eV per atom

Lattice parameters (Å, degrees): 7.8541 7.8541 9.6365 90.00 90.00 120.00
Closest atoms and distances in Å follow each position.
Fractional coordinates of all 15 atoms:
Cs 0.0000 0.0000 0.0000  12 Cl 3.91-3.93
Cs 0.3333 0.6667 0.6663  12 Cl 3.93-3.95
Cs 0.6667 0.3333 0.3337  12 Cl 3.93-3.95
Ca 0.3333 0.6667 0.1586  6 Cl 2.73
Ca 0.6667 0.3333 0.8414  6 Cl 2.73
Pb 0.0000 0.0000 0.5000  6 Cl 2.87
Cl 0.0000 0.5000 0.0000  2 Ca 2.73
Cl 0.1713 0.3426 0.3257  1 Ca 2.73, 1 Pb 2.87
Cl 0.1713 0.8287 0.3257  1 Ca 2.73, 1 Pb 2.87
Cl 0.3426 0.1713 0.6743  1 Ca 2.73, 1 Pb 2.87
Cl 0.5000 0.0000 0.0000  2 Ca 2.73
Cl 0.5000 0.5000 0.0000  2 Ca 2.73
Cl 0.6574 0.8287 0.3257  1 Ca 2.73, 1 Pb 2.87
Cl 0.8287 0.1713 0.6743  1 Ca 2.73, 1 Pb 2.87
Cl 0.8287 0.6574 0.6743  1 Ca 2.73, 1 Pb 2.87

(2)
CsCaPdCl6 | PBE-GGA | relaxed

Properties
- Symmetry: P1
- E: -31.87 eV/cell
- Magnetization: 1.0 μB per formula unit
- Uncorrected formation energy: -1.415 eV per atom

Lattice parameters (Å, degrees): 6.7012 6.7049 7.8141 91.11 91.17 117.20
Closest atoms and distances in Å follow each position.
Fractional coordinates of all 9 atoms:
Cs 0.0000 0.0000 0.0000  6 Cl 3.49-3.53
Ca 0.3289 0.6717 0.5001  6 Cl 2.69-2.79
Pd 0.6734 0.3267 0.5003  4 Cl 2.36-2.37
Cl 0.3869 0.3361 0.3253  1 Pd 2.36
Cl 0.3990 0.0227 0.7101  1 Pd 2.66, 1 Ca 2.69
Cl 0.6554 0.0241 0.3268  1 Pd 2.37
Cl 0.6635 0.6123 0.6757  1 Pd 2.36
Cl 0.9765 0.3448 0.6735  1 Pd 2.37
Cl 0.9769 0.6019 0.2910  1 Pd 2.65, 1 Ca 2.69

(3)
CsCaPmCl6 | PBE-GGA | relaxed

Properties
- Symmetry: P-31c
- E: -78.77 eV/cell
- Magnetization: 0.0 μB per formula unit
- DOS(E_F): 0.00 states/eV/cell
- Uncorrected formation energy: -2.300 eV per atom

Lattice parameters (Å, degrees): 7.2650 7.2650 15.1452 90.00 90.00 120.00
Closest atoms and distances in Å follow each position.
Fractional coordinates of all 18 atoms:
Cs 0.0000 0.0000 0.0000  6 Cl 3.56
Cs 0.0000 0.0000 0.5000  6 Cl 3.56
Ca 0.3333 0.6667 0.2500  6 Cl 2.76
Ca 0.6667 0.3333 0.7500  6 Cl 2.76
Pm 0.3333 0.6667 0.7500  6 Cl 2.74
Pm 0.6667 0.3333 0.2500  6 Cl 2.74
Cl 0.0025 0.3833 0.6471  1 Pm 2.74, 1 Ca 2.76
Cl 0.0025 0.6192 0.8529  1 Pm 2.74, 1 Ca 2.76
Cl 0.3808 0.3833 0.8529  1 Pm 2.74, 1 Ca 2.76
Cl 0.3808 0.9975 0.6471  1 Pm 2.74, 1 Ca 2.76
Cl 0.3833 0.0025 0.1471  1 Pm 2.74, 1 Ca 2.76
Cl 0.3833 0.3808 0.3529  1 Pm 2.74, 1 Ca 2.76
Cl 0.6167 0.6192 0.6471  1 Pm 2.74, 1 Ca 2.76
Cl 0.6167 0.9975 0.8529  1 Pm 2.74, 1 Ca 2.76
Cl 0.6192 0.0025 0.3529  1 Pm 2.74, 1 Ca 2.76
Cl 0.6192 0.6167 0.1471  1 Pm 2.74, 1 Ca 2.76
Cl 0.9975 0.3808 0.1471  1 Pm 2.74, 1 Ca 2.76
Cl 0.9975 0.6167 0.3529  1 Pm 2.74, 1 Ca 2.76

(4)
Cs2CaPrCl6 | PBE-GGA | relaxed

Properties
- Symmetry: Pmmn
- E: -80.78 eV/cell
- Magnetization: 1.0 μB per formula unit
- DOS(E_F): 9.34 states/eV/cell
- Uncorrected formation energy: -2.082 eV per atom

Lattice parameters (Å, degrees): 7.8507 11.1150 7.8662 90.00 90.00 90.00
Closest atoms and distances in Å follow each position.
Fractional coordinates of all 20 atoms:
Cs 0.2500 0.0006 0.2503  12 Cl 3.92-3.95
Cs 0.2500 0.4994 0.2503  12 Cl 3.92-3.95
Cs 0.7500 0.5006 0.7497  12 Cl 3.92-3.95
Cs 0.7500 0.9994 0.7497  12 Cl 3.92-3.95
Ca 0.2500 0.7500 0.7489  6 Cl 2.73
Ca 0.7500 0.2500 0.2511  6 Cl 2.73
Pr 0.2500 0.2500 0.7512  6 Cl 2.83
Pr 0.7500 0.7500 0.2488  6 Cl 2.83
Cl 0.0044 0.7500 0.5032  1 Ca 2.73, 1 Pr 2.83
Cl 0.0038 0.7500 0.9939  1 Ca 2.73, 1 Pr 2.83
Cl 0.2500 0.5044 0.7499  1 Ca 2.73, 1 Pr 2.83
Cl 0.2500 0.9956 0.7499  1 Ca 2.73, 1 Pr 2.83
Cl 0.4956 0.7500 0.5032  1 Ca 2.73, 1 Pr 2.83
Cl 0.4962 0.7500 0.9939  1 Ca 2.73, 1 Pr 2.83
Cl 0.5038 0.2500 0.0061  1 Ca 2.73, 1 Pr 2.83
Cl 0.5044 0.2500 0.4968  1 Ca 2.73, 1 Pr 2.83
Cl 0.7500 0.0044 0.2501  1 Ca 2.73, 1 Pr 2.83
Cl 0.7500 0.4956 0.2501  1 Ca 2.73, 1 Pr 2.83
Cl 0.9962 0.2500 0.0061  1 Ca 2.73, 1 Pr 2.83
Cl 0.9956 0.2500 0.4968  1 Ca 2.73, 1 Pr 2.83

(5)
CsCaPrCl6 | PBE-GGA | relaxed

Properties
- Symmetry: Imma
- E: -77.61 eV/cell
- Magnetization: 0.0 μB per formula unit
- DOS(E_F): 0.00 states/eV/cell
- Uncorrected formation energy: -2.232 eV per atom

Lattice parameters (Å, degrees): 10.1999 10.1999 10.1999 121.77 119.26 89.12
Closest atoms and distances in Å follow each position.
Fractional coordinates of all 18 atoms:
Cs 0.3029 0.0529 0.2500  1 Cl 3.39
Cs 0.6971 0.9471 0.7500  1 Cl 3.39
Ca 0.0000 0.0000 0.5000  6 Cl 2.68-2.78
Ca 0.0000 0.5000 0.0000  6 Cl 2.68-2.78
Pr 0.0000 0.5000 0.5000  6 Cl 2.76-2.80
Pr 0.5000 0.5000 0.0000  6 Cl 2.76-2.80
Cl 0.0629 0.4122 0.2355  1 Pr 2.76, 1 Ca 2.78
Cl 0.0629 0.8274 0.6506  1 Pr 2.76, 1 Ca 2.78
Cl 0.0693 0.8193 0.2500  2 Ca 2.68
Cl 0.3232 0.1726 0.7355  1 Pr 2.76, 1 Ca 2.78
Cl 0.3232 0.5878 0.1506  1 Pr 2.76, 1 Ca 2.78
Cl 0.3246 0.5746 0.7500  2 Pr 2.80
Cl 0.6754 0.4254 0.2500  2 Pr 2.80
Cl 0.6768 0.4122 0.8494  1 Pr 2.76, 1 Ca 2.78
Cl 0.6768 0.8274 0.2645  1 Pr 2.76, 1 Ca 2.78
Cl 0.9307 0.1807 0.7500  2 Ca 2.68
Cl 0.9371 0.1726 0.3494  1 Pr 2.76, 1 Ca 2.78
Cl 0.9371 0.5878 0.7645  1 Pr 2.76, 1 Ca 2.78

(6)
CsCaPtCl6 | PBE-GGA | relaxed

Properties
- Symmetry: P1
- E: -32.62 eV/cell
- Magnetization: 1.0 μB per formula unit
- Uncorrected formation energy: -1.405 eV per atom

Lattice parameters (Å, degrees): 6.6919 6.7014 7.8454 91.24 91.41 116.88
Closest atoms and distances in Å follow each position.
Fractional coordinates of all 9 atoms:
Cs 0.0000 0.0000 0.0000  6 Cl 3.48-3.54
Ca 0.3281 0.6726 0.5001  6 Cl 2.69-2.80
Pt 0.6748 0.3252 0.5000  4 Cl 2.35-2.36
Cl 0.3864 0.3330 0.3273  1 Pt 2.35
Cl 0.3990 0.0191 0.7138  1 Ca 2.69, 1 Pt 2.70
Cl 0.6583 0.0235 0.3289  1 Pt 2.36
Cl 0.6675 0.6125 0.6731  1 Pt 2.35
Cl 0.9776 0.3417 0.6710  1 Pt 2.36
Cl 0.9804 0.6019 0.2865  1 Ca 2.69, 1 Pt 2.70

(7)
Cs2CaPtCl6 | PBE-GGA | relaxed

Properties
- Symmetry: Fm-3m
- E: -36.11 eV/cell
- Magnetization: 2.0 μB per formula unit
- DOS(E_F): 0.00 states/eV/cell
- Uncorrected formation energy: -1.528 eV per atom

Lattice parameters (Å, degrees): 7.5008 7.5008 7.5008 60.00 60.00 60.00
Closest atoms and distances in Å follow each position.
Fractional coordinates of all 10 atoms:
Cs 0.2500 0.2500 0.2500  12 Cl 3.75
Cs 0.7500 0.7500 0.7500  12 Cl 3.75
Ca 0.0000 0.0000 0.0000  6 Cl 2.74
Pt 0.5000 0.5000 0.5000  6 Cl 2.56
Cl 0.2583 0.2583 0.7417  1 Pt 2.56, 1 Ca 2.74
Cl 0.2583 0.7417 0.2583  1 Pt 2.56, 1 Ca 2.74
Cl 0.2583 0.7417 0.7417  1 Pt 2.56, 1 Ca 2.74
Cl 0.7417 0.2583 0.2583  1 Pt 2.56, 1 Ca 2.74
Cl 0.7417 0.2583 0.7417  1 Pt 2.56, 1 Ca 2.74
Cl 0.7417 0.7417 0.2583  1 Pt 2.56, 1 Ca 2.74

(8)
Cs3Ca2PuCl9 | PBE-GGA | relaxed

Properties
- Symmetry: P-3m1
- E: -69.46 eV/cell
- Magnetization: 6.0 μB per formula unit
- DOS(E_F): 20.97 states/eV/cell
- Uncorrected formation energy: -2.130 eV per atom

Lattice parameters (Å, degrees): 7.8166 7.8166 9.5848 90.00 90.00 120.00
Closest atoms and distances in Å follow each position.
Fractional coordinates of all 15 atoms:
Cs 0.0000 0.0000 0.0000  12 Cl 3.90-3.91
Cs 0.3333 0.6667 0.6683  12 Cl 3.90-3.94
Cs 0.6667 0.3333 0.3317  12 Cl 3.90-3.94
Ca 0.3333 0.6667 0.1617  6 Cl 2.73-2.74
Ca 0.6667 0.3333 0.8383  6 Cl 2.73-2.74
Pu 0.0000 0.0000 0.5000  6 Cl 2.83
Cl 0.0000 0.5000 0.0000  2 Ca 2.74
Cl 0.1699 0.3397 0.3288  1 Ca 2.73, 1 Pu 2.83
Cl 0.1699 0.8301 0.3288  1 Ca 2.73, 1 Pu 2.83
Cl 0.3397 0.1699 0.6712  1 Ca 2.73, 1 Pu 2.83
Cl 0.5000 0.0000 0.0000  2 Ca 2.74
Cl 0.5000 0.5000 0.0000  2 Ca 2.74
Cl 0.6603 0.8301 0.3288  1 Ca 2.73, 1 Pu 2.83
Cl 0.8301 0.1699 0.6712  1 Ca 2.73, 1 Pu 2.83
Cl 0.8301 0.6603 0.6712  1 Ca 2.73, 1 Pu 2.83

(9)
Cs2CaPuCl6 | PBE-GGA | relaxed

Properties
- Symmetry: Pmmn
- E: -99.31 eV/cell
- Magnetization: 6.0 μB per formula unit
- DOS(E_F): 41.96 states/eV/cell
- Uncorrected formation energy: -2.053 eV per atom

Lattice parameters (Å, degrees): 7.8610 11.1187 7.8609 90.00 90.00 90.00
Closest atoms and distances in Å follow each position.
Fractional coordinates of all 20 atoms:
Cs 0.2500 0.9999 0.2489  12 Cl 3.92-3.95
Cs 0.2500 0.5001 0.2489  12 Cl 3.92-3.95
Cs 0.7500 0.0001 0.7511  12 Cl 3.92-3.95
Cs 0.7500 0.4999 0.7511  12 Cl 3.92-3.95
Ca 0.2500 0.2500 0.7508  6 Cl 2.73
Ca 0.7500 0.7500 0.2492  6 Cl 2.73
Pu 0.2500 0.7500 0.7491  6 Cl 2.83
Pu 0.7500 0.2500 0.2509  6 Cl 2.83
Cl 0.0032 0.2500 0.5062  1 Ca 2.73, 1 Pu 2.83
Cl 0.0053 0.2500 0.9978  1 Ca 2.73, 1 Pu 2.83
Cl 0.2500 0.0042 0.7506  1 Ca 2.73, 1 Pu 2.83
Cl 0.2500 0.4958 0.7506  1 Ca 2.73, 1 Pu 2.83
Cl 0.4947 0.2500 0.9978  1 Ca 2.73, 1 Pu 2.83
Cl 0.4968 0.2500 0.5062  1 Ca 2.73, 1 Pu 2.83
Cl 0.5032 0.7500 0.4938  1 Ca 2.73, 1 Pu 2.83
Cl 0.5053 0.7500 0.0022  1 Ca 2.73, 1 Pu 2.83
Cl 0.7500 0.5042 0.2494  1 Ca 2.73, 1 Pu 2.83
Cl 0.7500 0.9958 0.2494  1 Ca 2.73, 1 Pu 2.83
Cl 0.9947 0.7500 0.0022  1 Ca 2.73, 1 Pu 2.83
Cl 0.9968 0.7500 0.4938  1 Ca 2.73, 1 Pu 2.83

(10)
Cs3Rb3CaCl8 | PBE-GGA | relaxed

Properties
- Symmetry: C2/m
- E: -53.07 eV/cell
- Magnetization: 0.0 μB per formula unit
- DOS(E_F): 0.00 states/eV/cell
- Uncorrected formation energy: -2.055 eV per atom

Lattice parameters (Å, degrees): 9.4894 9.4894 9.6872 119.35 119.35 60.01
Closest atoms and distances in Å follow each position.
Fractional coordinates of all 15 atoms:
Cs 0.0000 0.0000 0.0000  6 Cl 3.47-3.51
Cs 0.0000 0.5000 0.0000  6 Cl 3.47-3.51
Cs 0.5000 0.0000 0.0000  6 Cl 3.47-3.51
Rb 0.0000 0.5000 0.5000  6 Cl 3.32-3.38
Rb 0.5000 0.0000 0.5000  6 Cl 3.32-3.38
Rb 0.5000 0.5000 0.5000  6 Cl 3.32-3.38
Ca 0.0000 0.0000 0.5000  6 Cl 2.80
Cl 0.2065 0.7855 0.6985  1 Ca 2.80
Cl 0.2066 0.2066 0.6987  1 Ca 2.80
Cl 0.2145 0.7935 0.3015  1 Ca 2.80
Cl 0.2553 0.2553 0.2660  3 Rb 3.32, 3 Cs 3.47
Cl 0.7447 0.7447 0.7340  3 Rb 3.32, 3 Cs 3.47
Cl 0.7855 0.2065 0.6985  1 Ca 2.80
Cl 0.7934 0.7934 0.3013  1 Ca 2.80
Cl 0.7935 0.2145 0.3015  1 Ca 2.80

(11)
Cs2RbCaCl6 | PBE-GGA | relaxed

Properties
- Symmetry: Fm-3m
- E: -33.80 eV/cell
- Magnetization: 1.0 μB per formula unit
- DOS(E_F): 17.43 states/eV/cell
- Uncorrected formation energy: -1.804 eV per atom

Lattice parameters (Å, degrees): 8.2646 8.2646 8.2646 60.00 60.00 60.00
Closest atoms and distances in Å follow each position.
Fractional coordinates of all 10 atoms:
Cs 0.2500 0.2500 0.2500  12 Cl 4.14
Cs 0.7500 0.7500 0.7500  12 Cl 4.14
Rb 0.0000 0.0000 0.0000  6 Cl 3.14
Ca 0.5000 0.5000 0.5000  6 Cl 2.70
Cl 0.2686 0.2686 0.7314  1 Ca 2.70
Cl 0.2686 0.7314 0.2686  1 Ca 2.70
Cl 0.2686 0.7314 0.7314  1 Ca 2.70
Cl 0.7314 0.2686 0.2686  1 Ca 2.70
Cl 0.7314 0.2686 0.7314  1 Ca 2.70
Cl 0.7314 0.7314 0.2686  1 Ca 2.70

(12)
Cs3RbCa2Cl9 | PBE-GGA | relaxed

Properties
- Symmetry: P-3m1
- E: -53.72 eV/cell
- Magnetization: 1.2 μB per formula unit
- DOS(E_F): 14.11 states/eV/cell
- Uncorrected formation energy: -1.971 eV per atom

Lattice parameters (Å, degrees): 7.6928 7.6928 11.0850 90.00 90.00 120.00
Closest atoms and distances in Å follow each position.
Fractional coordinates of all 15 atoms:
Cs 0.0000 0.0000 0.0000  12 Cl 3.85-3.92
Cs 0.3333 0.6667 0.7353  9 Cl 3.68-3.86
Cs 0.6667 0.3333 0.2647  9 Cl 3.68-3.86
Rb 0.0000 0.0000 0.5000  6 Cl 3.24
Ca 0.3333 0.6667 0.1474  6 Cl 2.70-2.76
Ca 0.6667 0.3333 0.8526  6 Cl 2.70-2.76
Cl 0.0000 0.5000 0.0000  2 Ca 2.76
Cl 0.1686 0.3373 0.2895  1 Ca 2.70
Cl 0.1686 0.8314 0.2895  1 Ca 2.70
Cl 0.3373 0.1686 0.7105  1 Ca 2.70
Cl 0.5000 0.0000 0.0000  2 Ca 2.76
Cl 0.5000 0.5000 0.0000  2 Ca 2.76
Cl 0.6627 0.8314 0.2895  1 Ca 2.70
Cl 0.8314 0.1686 0.7105  1 Ca 2.70
Cl 0.8314 0.6627 0.7105  1 Ca 2.70